A relaxed SbPF2 crystal, computed with GGA-PBE.

Its space group is R-3m, No. 166. The offset from the most stable computed form is 0.582 eV per atom. The formation energy without anion corrections is -36.8 kJ per mole of atoms.

```
SbPF2
1.0
1.7702 1.0220 6.6067
-1.7702 1.0220 6.6067
0.0000 -2.0440 6.6067
Sb P F
1 1 2
Direct
0.0000 0.0000 0.0000
0.5000 0.5000 0.5000
0.2018 0.2018 0.2018
0.7982 0.7982 0.7982
```